(1)
# Sm6SnRh, optimized geometry, DFT PBE
data_Sm6SnRh
_cell_length_a 6.955
_cell_length_b 6.996
_cell_length_c 7.692
_cell_angle_alpha 90.42
_cell_angle_beta 116.44
_cell_angle_gamma 119.74
_symmetry_space_group_name_H-M 'P -1'
_symmetry_Int_Tables_number 2
loop_
_symmetry_equiv_pos_as_xyz
'x,y,z'
'-x,-y,-z'
loop_
_atom_site_label
_atom_site_fract_x
_atom_site_fract_y
_atom_site_fract_z
Sm1 0.038 0.080 0.256
Sm2 0.297 0.717 0.255
Sm3 0.321 0.540 0.745
Sn1 0.500 0.000 0.000
Rh1 0.500 0.500 0.500
# formation energy	-3.92	kcal/mol of atoms

(2)
# Dy2NpScS6, optimized geometry, DFT PBE
data_Dy2NpScS6
_cell_length_a 6.8275
_cell_length_b 6.8275
_cell_length_c 18.3911
_cell_angle_alpha 90.00
_cell_angle_beta 90.00
_cell_angle_gamma 120.00
_symmetry_space_group_name_H-M 'R 3'
_symmetry_Int_Tables_number 146
_symmetry_space_group_name_Hall 'R 3'
loop_
_atom_site_label
_atom_site_fract_x
_atom_site_fract_y
_atom_site_fract_z
Dy1 0.0000 0.0000 0.0000
Dy2 0.0000 0.0000 0.4957
Np1 0.0000 0.0000 0.1985
Sc1 0.0000 0.0000 0.6945
S1 0.0335 0.3469 0.7647
S2 0.0404 0.6674 0.2677
# total DFT energy (no corrections)	-0.2615	hartree per atom

(3)
# NaInSe2O6, optimized geometry, DFT PBE
data_NaInSe2O6
_cell_length_a 5.3176
_cell_length_b 5.3176
_cell_length_c 17.7641
_cell_angle_alpha 90.00
_cell_angle_beta 90.00
_cell_angle_gamma 120.00
_symmetry_space_group_name_H-M 'R -3'
_symmetry_Int_Tables_number 148
_symmetry_space_group_name_Hall '-R 3'
loop_
_atom_site_label
_atom_site_fract_x
_atom_site_fract_y
_atom_site_fract_z
Na1 0.0000 0.0000 0.0000
In1 0.0000 0.0000 0.5000
Se1 0.0000 0.0000 0.2767
O1 0.0183 0.3113 0.2397
# total DFT energy (no corrections)	-0.1916	hartree per atom

(4)
# LiMg12Cd6, optimized geometry, DFT PBE
data_LiMg12Cd6
_cell_length_a 10.3613
_cell_length_b 10.3613
_cell_length_c 13.4319
_cell_angle_alpha 90.00
_cell_angle_beta 90.00
_cell_angle_gamma 120.00
_symmetry_space_group_name_H-M 'R -3'
_symmetry_Int_Tables_number 148
_symmetry_space_group_name_Hall '-R 3'
loop_
_atom_site_label
_atom_site_fract_x
_atom_site_fract_y
_atom_site_fract_z
Li1 0.0000 0.0000 0.0000
Mg1 0.0332 0.1822 0.8146
Mg2 0.0611 0.8473 0.4126
Cd1 0.0302 0.4356 0.7078
# formation energy	-1.75	kcal/mol of atoms